Here is a relaxed structure of LuZrCuPb from OQMD. Energies are from GGA-PBE.

Energy relative to the lowest polymorph listed for this composition ... 0.000 eV/f.u.
Total moment ... 2.27 μB/cell
Energy ... -4.830 eV per atom

abc: 5.0449 5.0449 5.0449
angles: 60.00 60.00 60.00
Fractional coordinates of all 4 atoms:
Pb  0.0000  0.0000  0.0000
Cu  0.7500  0.7500  0.7500
Zr  0.2500  0.2500  0.2500
Lu  0.5000  0.5000  0.5000


Here is a relaxed structure of Cu7Ag3 from OQMD. Energies are from GGA-PBE.

Energy relative to the lowest polymorph listed for this composition ... 0.422 eV/f.u.
ΔH_f (0 K) ... 0.087 eV/atom
Energy ... -3.362 eV per atom

abc: 4.6211 8.0229 11.6796
angles: 78.59 82.14 73.44
Fractional coordinates of all 30 atoms:
Ag  0.4403  0.0693  0.0919
Cu  0.4579  0.5282  0.8131
Ag  0.4019  0.5946  0.3895
Cu  0.0071  0.4645  0.7158
Ag  0.2540  0.7385  0.6153
Ag  0.5897  0.3875  0.6069
Ag  0.1083  0.4102  0.0939
Ag  0.3359  0.1242  0.7115
Ag  0.5047  0.0114  0.4974
Cu  0.8949  0.6027  0.8987
Cu  0.5457  0.4687  0.1919
Cu  0.2213  0.2721  0.8982
Cu  0.6814  0.3370  0.9951
Cu  0.1129  0.8604  0.8150
Cu  0.0070  0.9982  0.9969
Ag  0.8406  0.6614  0.5055
Cu  0.9223  0.0638  0.6046
Cu  0.9756  0.5272  0.2922
Cu  0.2095  0.7941  0.1857
Cu  0.8736  0.1422  0.1974
Cu  0.7567  0.2658  0.3891
Ag  0.6575  0.8675  0.2915
Cu  0.7757  0.7342  0.0908
Cu  0.6911  0.7936  0.7172
Cu  0.7781  0.1945  0.8148
Cu  0.5681  0.9246  0.9027
Cu  0.1514  0.3290  0.4942
Cu  0.3098  0.2134  0.2969
Cu  0.3481  0.6720  0.9963
Cu  0.0789  0.9490  0.3900


Here is a relaxed structure of Er3Zn3NiAu2 from OQMD. Energies are from GGA-PBE.

Total moment ... 0.00 μB/cell
ΔH_f (0 K) ... -0.626 eV/atom
Energy ... -3.913 eV per atom

abc: 7.2192 7.2192 3.8950
angles: 90.00 90.00 120.00
Fractional coordinates of all 9 atoms:
Au  0.6667  0.3333  0.5000
Zn  0.7688  0.0000  0.5000
Zn  0.0000  0.7688  0.5000
Er  0.6048  0.6048  0.0000
Er  0.3952  0.0000  0.0000
Au  0.3333  0.6667  0.5000
Er  0.0000  0.3952  0.0000
Ni  0.0000  0.0000  0.0000
Zn  0.2312  0.2312  0.5000